[1]
VASP calculation (meta-GGA SCAN) on a crystal of LaTaSi3 relaxed with PBEsol.

Geometry as CIF:
```
data_LaTaSi3
_chemical_formula_sum 'La1 Ta1 Si3'
_symmetry_space_group_name_H-M 'P m -3 m'
_symmetry_Int_Tables_number 221
_symmetry_space_group_name_Hall '-P 4 2 3'
_cell_length_a 4.7913
_cell_length_b 4.7913
_cell_length_c 4.7913
_cell_angle_alpha 90.00
_cell_angle_beta 90.00
_cell_angle_gamma 90.00
loop_
_atom_site_label
_atom_site_type_symbol
_atom_site_fract_x
_atom_site_fract_y
_atom_site_fract_z
_atom_site_occupancy
La1 La 0.0000 0.0000 0.0000 1
Ta1 Ta 0.5000 0.5000 0.5000 1
Si1 Si 0.0000 0.5000 0.5000 1
```

Output
- density of states at the Fermi level (states/eV/cell) = 2.27
- total magnetic moment (μB/cell) = 0.000
- E_form (uncorrected) (kJ/mol of atoms) = -9.06
- uncorrected energy (eV per atom) = -28.041
- calculated volume (Å³ per cell) = 110



[2]
VASP calculation (meta-GGA SCAN) on a crystal of LaTaSi relaxed with PBEsol.

Geometry as CIF:
```
data_LaTaSi
_chemical_formula_sum 'La2 Ta2 Si2'
_symmetry_space_group_name_H-M 'I 4 m m'
_symmetry_Int_Tables_number 107
_symmetry_space_group_name_Hall 'I 4 -2'
_cell_length_a 3.0539
_cell_length_b 3.0539
_cell_length_c 13.1512
_cell_angle_alpha 90.00
_cell_angle_beta 90.00
_cell_angle_gamma 90.00
loop_
_atom_site_label
_atom_site_type_symbol
_atom_site_fract_x
_atom_site_fract_y
_atom_site_fract_z
_atom_site_occupancy
La1 La 0.0000 0.0000 0.0000 1
Ta1 Ta 0.0000 0.0000 0.2940 1
Si1 Si 0.0000 0.0000 0.6683 1
```

Output
- density of states at the Fermi level (states/eV/cell) = 5.58
- total magnetic moment (μB/cell) = 0.000
- E_form (uncorrected) (kJ/mol of atoms) = 13.64
- uncorrected energy (eV per atom) = -39.760
- calculated volume (Å³ per cell) = 123



[3]
VASP calculation (meta-GGA SCAN) on a crystal of LaTa3Si relaxed with PBEsol.

Geometry as CIF:
```
data_LaTa3Si
_chemical_formula_sum 'La1 Ta3 Si1'
_symmetry_space_group_name_H-M 'P m -3 m'
_symmetry_Int_Tables_number 221
_symmetry_space_group_name_Hall '-P 4 2 3'
_cell_length_a 4.8529
_cell_length_b 4.8529
_cell_length_c 4.8529
_cell_angle_alpha 90.00
_cell_angle_beta 90.00
_cell_angle_gamma 90.00
loop_
_atom_site_label
_atom_site_type_symbol
_atom_site_fract_x
_atom_site_fract_y
_atom_site_fract_z
_atom_site_occupancy
La1 La 0.0000 0.0000 0.0000 1
Ta1 Ta 0.0000 0.0000 0.5000 1
Si1 Si 0.5000 0.5000 0.5000 1
```

Output
- density of states at the Fermi level (states/eV/cell) = 5.25
- total magnetic moment (μB/cell) = 0.000
- E_form (uncorrected) (kJ/mol of atoms) = 250.57
- uncorrected energy (eV per atom) = -47.977
- calculated volume (Å³ per cell) = 114



[4]
VASP calculation (meta-GGA SCAN) on a crystal of LaTa2Si relaxed with PBEsol.

Geometry as CIF:
```
data_LaTa2Si
_chemical_formula_sum 'La1 Ta2 Si1'
_symmetry_space_group_name_H-M 'P 1 2/m 1'
_symmetry_Int_Tables_number 10
_symmetry_space_group_name_Hall '-P 2y'
_cell_length_a 3.5033
_cell_length_b 4.6192
_cell_length_c 5.1682
_cell_angle_alpha 90.00
_cell_angle_beta 97.52
_cell_angle_gamma 90.00
loop_
_atom_site_label
_atom_site_type_symbol
_atom_site_fract_x
_atom_site_fract_y
_atom_site_fract_z
_atom_site_occupancy
La1 La 0.0000 0.0000 0.0000 1
Ta1 Ta 0.3179 0.5000 0.7015 1
Si1 Si 0.5000 0.0000 0.5000 1
```

Output
- density of states at the Fermi level (states/eV/cell) = 3.70
- total magnetic moment (μB/cell) = 0.000
- E_form (uncorrected) (kJ/mol of atoms) = 26.78
- uncorrected energy (eV per atom) = -46.294
- calculated volume (Å³ per cell) = 83



Q: Which of these has the highest density of states at the Fermi level?
A: LaTaSi



Q: The highest calculated volume belongs to which entry?
A: LaTaSi